Entry 1:
First-principles (meta-GGA SCAN) data for a PBEsol-optimized structure of SrLi2Ag2, as listed in the Alexandria database.

Output
Volume = 226.3 Å³/cell
Offset from the most stable computed form = 0 kJ/mol of formula units

Cell lengths 4.2861, 4.2861, 12.3180 Å; angles 90.00, 90.00, 90.00 degrees
Space group I4/mmm (No. 139)
One atom of each set of equivalent atoms:
Sr (0.0000, 0.0000, 0.0000) x2
Li (0.0000, 0.5000, 0.2500) x4
Ag (0.0000, 0.0000, 0.3889) x4



Entry 2:
First-principles (meta-GGA SCAN) data for a PBEsol-optimized structure of Sr2Li2Ag, as listed in the Alexandria database.

Output
Volume = 297.7 Å³/cell

Cell lengths 3.9135, 3.9135, 19.4410 Å; angles 90.00, 90.00, 90.00 degrees
Space group I4/mmm (No. 139)
One atom of each set of equivalent atoms:
Sr (0.0000, 0.0000, 0.0954) x4
Li (0.0000, 0.5000, 0.2500) x4
Ag (0.0000, 0.0000, 0.5000) x2



Entry 3:
First-principles (meta-GGA SCAN) data for a PBEsol-optimized structure of Sr2LiAg, as listed in the Alexandria database.

Output
Volume = 127.4 Å³/cell
Offset from the most stable computed form = 16 kJ/mol of formula units

Cell lengths 3.9499, 3.9499, 8.1634 Å; angles 90.00, 90.00, 90.00 degrees
Space group P4/mmm (No. 123)
One atom of each set of equivalent atoms:
Sr (0.0000, 0.0000, 0.2252) x2
Li (0.5000, 0.5000, 0.5000) x1
Ag (0.5000, 0.5000, 0.0000) x1



Entry 4:
First-principles (meta-GGA SCAN) data for a PBEsol-optimized structure of SrLiAg2, as listed in the Alexandria database.

Output
Volume = 288.7 Å³/cell
Offset from the most stable computed form = 0 kJ/mol of formula units

Cell lengths 4.5634, 4.5634, 16.0053 Å; angles 90.00, 90.00, 120.00 degrees
Space group R-3m (No. 166, hexagonal axes)
One atom of each set of equivalent atoms:
Sr (0.0000, 0.0000, 0.0000) x3
Li (0.0000, 0.0000, 0.5000) x3
Ag (0.0000, 0.0000, 0.2013) x6



Entry 5:
First-principles (meta-GGA SCAN) data for a PBEsol-optimized structure of Sr2LiAg, as listed in the Alexandria database.

Output
Volume = 259.7 Å³/cell
Offset from the most stable computed form = 0 kJ/mol of formula units

Cell lengths 4.6548, 4.6108, 12.1023 Å; angles 90.00, 90.00, 90.00 degrees
Space group Amm2 (No. 38)
One atom of each set of equivalent atoms:
Sr (0.0000, 0.0000, 0.0000) x2
Sr (0.5000, 0.0000, 0.2864) x2
Li (0.5000, 0.0000, 0.5888) x2
Ag (0.0000, 0.0000, 0.7084) x2



Entry 6:
First-principles (meta-GGA SCAN) data for a PBEsol-optimized structure of LiTaAg, as listed in the Alexandria database.

Output
Volume = 200.3 Å³/cell
Offset from the most stable computed form = 0 kJ/mol of formula units

Cell lengths 3.0866, 4.4559, 14.5650 Å; angles 90.00, 90.00, 90.00 degrees
Space group Fmm2 (No. 42)
One atom of each set of equivalent atoms:
Li (0.0000, 0.0000, 0.0000) x4
Ta (0.0000, 0.0000, 0.3250) x4
Ag (0.0000, 0.0000, 0.6575) x4



Entry 7:
First-principles (meta-GGA SCAN) data for a PBEsol-optimized structure of LiTaAg, as listed in the Alexandria database.

Output
Volume = 223.1 Å³/cell
Offset from the most stable computed form = 198 kJ/mol of formula units

Cell lengths 6.0652, 6.0652, 6.0652 Å; angles 90.00, 90.00, 90.00 degrees
Space group F-43m (No. 216)
One atom of each set of equivalent atoms:
Li (0.0000, 0.0000, 0.0000) x4
Ta (0.0000, 0.0000, 0.5000) x4
Ag (0.2500, 0.2500, 0.2500) x4



Entry 8:
First-principles (meta-GGA SCAN) data for a PBEsol-optimized structure of LiTaAg, as listed in the Alexandria database.

Output
Volume = 46.9 Å³/cell
Offset from the most stable computed form = 28 kJ/mol of formula units

Cell lengths 4.5161, 4.5161, 2.6560 Å; angles 90.00, 90.00, 120.00 degrees
Space group P3m1 (No. 156)
One atom of each set of equivalent atoms:
Li (0.0000, 0.0000, 0.0000) x1
Ta (0.3333, 0.6667, 0.4990) x1
Ag (0.6667, 0.3333, 0.9980) x1



Record order is preserved below.
Electronic total energy: -1.33621 -1.19113 -1.44845 -1.62546 -1.45144 -2.44090 -2.39053 -2.43378 Ry per atom
Record order is preserved below.
Spin magnetization: 0.0 0.0 0.0 0.0 0.0 0.0 0.0 0.0 μB/f.u.